No. 1
A plane-wave DFT calculation with PBE was carried out for crystalline Mg3Fe at its relaxed geometry.

Unit cell a=5.9405 b=5.9405 c=4.8052 alpha=90.00 beta=90.00 gamma=120.00
With the nearest neighbours (Å) after each atom.
Atoms (fractional coordinates):
Mg (0.1730, 0.3460, 0.2500)  8 Mg 2.86-3.08, 4 Fe 2.91-2.97
Mg (0.1730, 0.8270, 0.2500)  8 Mg 2.86-3.08, 4 Fe 2.91-2.97
Mg (0.3460, 0.1730, 0.7500)  8 Mg 2.86-3.08, 4 Fe 2.91-2.97
Mg (0.6540, 0.8270, 0.2500)  8 Mg 2.86-3.08, 4 Fe 2.91-2.97
Mg (0.8270, 0.1730, 0.7500)  8 Mg 2.86-3.08, 4 Fe 2.91-2.97
Mg (0.8270, 0.6540, 0.7500)  8 Mg 2.86-3.08, 4 Fe 2.91-2.97
Fe (0.3333, 0.6667, 0.7500)  12 Mg 2.91-2.97
Fe (0.6667, 0.3333, 0.2500)  12 Mg 2.91-2.97

Results
As for the formation energy: 222 meV per atom. The theoretical density comes out at 2.91 g cm⁻³. As for the space group: P6_3/mmc, No. 194. As for the density of states at the Fermi level: 7.03 states/eV per cell.

No. 2
A plane-wave DFT calculation with PBE was carried out for crystalline Mg5Fe at its relaxed geometry.

Unit cell a=5.6505 b=5.6505 c=5.6505 alpha=60.00 beta=60.00 gamma=60.00
With the nearest neighbours (Å) after each atom.
Atoms (fractional coordinates):
Mg (0.0000, 0.0000, 0.0000)  12 Mg 3.31, 4 Fe 3.46
Mg (0.1267, 0.6244, 0.6244)  6 Mg 2.81-2.84
Mg (0.6244, 0.1267, 0.6244)  6 Mg 2.81-2.84
Mg (0.6244, 0.6244, 0.1267)  6 Mg 2.81-2.84
Mg (0.6244, 0.6244, 0.6244)  6 Mg 2.81-2.84
Fe (0.2500, 0.2500, 0.2500)  16 Mg 3.31-3.46

Results
As for the formation energy: 398 meV per atom. The theoretical density comes out at 2.31 g cm⁻³. As for the space group: F-43m, No. 216. For the energy relative to the lowest polymorph listed for this composition, the calculation gives 6.17 kcal/mol of atoms. As for the density of states at the Fermi level: 5.94 states/eV per cell.

No. 3
A plane-wave DFT calculation with PBE was carried out for crystalline Mg5Fe3 at its relaxed geometry.

Unit cell a=5.6707 b=7.1578 c=7.2410 alpha=78.55 beta=74.06 gamma=74.98
With the nearest neighbours (Å) after each atom.
Atoms (fractional coordinates):
Mg (0.0137, 0.3723, 0.3445)  5 Fe 2.76-2.95, 5 Mg 2.80-3.07
Mg (0.2232, 0.7485, 0.2395)  4 Fe 2.71-2.86, 5 Mg 2.79-2.99
Mg (0.2494, 0.9680, 0.5324)  2 Fe 2.73-2.74, 5 Mg 2.89-3.04
Mg (0.2774, 0.2576, 0.7513)  4 Fe 2.68-2.83, 4 Mg 2.80-2.91
Mg (0.4827, 0.1594, 0.1297)  5 Fe 2.77-2.94, 5 Mg 2.79-3.09
Mg (0.5173, 0.8406, 0.8703)  5 Fe 2.77-2.94, 5 Mg 2.79-3.09
Mg (0.7226, 0.7424, 0.2487)  4 Fe 2.68-2.83, 4 Mg 2.80-2.91
Mg (0.7506, 0.0320, 0.4676)  2 Fe 2.73-2.74, 5 Mg 2.89-3.04
Mg (0.7768, 0.2515, 0.7605)  4 Fe 2.71-2.86, 5 Mg 2.79-2.99
Mg (0.9863, 0.6277, 0.6555)  5 Fe 2.76-2.95, 5 Mg 2.80-3.07
Fe (0.0082, 0.8732, 0.9088)  2 Fe 2.42-2.45, 1 Mg 2.69
Fe (0.2397, 0.5346, 0.9650)  2 Fe 2.45-2.49, 2 Mg 2.68-2.71
Fe (0.4919, 0.5902, 0.6267)  2 Fe 2.41-2.49
Fe (0.5081, 0.4098, 0.3733)  2 Fe 2.41-2.49
Fe (0.7603, 0.4654, 0.0350)  2 Fe 2.45-2.49, 2 Mg 2.68-2.71
Fe (0.9918, 0.1268, 0.0912)  2 Fe 2.42-2.45, 1 Mg 2.69

Results
As for the formation energy: 204 meV per atom. The theoretical density comes out at 3.55 g cm⁻³. As for the space group: P-1, No. 2. For the energy relative to the lowest polymorph listed for this composition, the calculation gives 0.00 kcal/mol of atoms. As for the density of states at the Fermi level: 9.81 states/eV per cell.

No. 4
A plane-wave DFT calculation with PBE was carried out for crystalline MgFe2 at its relaxed geometry.

Unit cell a=6.3688 b=6.3688 c=6.3688 alpha=156.34 beta=156.34 gamma=33.71
With the nearest neighbours (Å) after each atom.
Atoms (fractional coordinates):
Mg (0.0000, 0.0000, 0.0000)  4 Mg 2.61, 8 Fe 2.81
Fe (0.3263, 0.3263, 0.0000)  8 Fe 2.61-2.62, 4 Mg 2.81
Fe (0.6737, 0.6737, 0.0000)  8 Fe 2.61-2.62, 4 Mg 2.81

Results
As for the formation energy: 279 meV per atom. The theoretical density comes out at 5.43 g cm⁻³. As for the space group: I4/mmm, No. 139. As for the density of states at the Fermi level: 2.68 states/eV per cell.

No. 5
A plane-wave DFT calculation with PBE was carried out for crystalline Mg3Fe at its relaxed geometry.

Unit cell a=5.9179 b=5.9179 c=4.3559 alpha=90.00 beta=90.00 gamma=77.35
With the nearest neighbours (Å) after each atom.
Atoms (fractional coordinates):
Mg (0.1238, 0.3697, 0.7500)  1 Fe 2.80, 6 Mg 2.84-3.09
Mg (0.1600, 0.8400, 0.7500)  8 Mg 2.84-3.16, 3 Fe 2.89-3.14
Mg (0.3697, 0.1238, 0.2500)  1 Fe 2.80, 6 Mg 2.84-3.09
Mg (0.6303, 0.8762, 0.7500)  1 Fe 2.80, 6 Mg 2.84-3.09
Mg (0.8400, 0.1600, 0.2500)  8 Mg 2.84-3.16, 3 Fe 2.89-3.14
Mg (0.8762, 0.6303, 0.2500)  1 Fe 2.80, 6 Mg 2.84-3.09
Fe (0.4158, 0.5842, 0.2500)  2 Fe 2.51, 2 Mg 2.80
Fe (0.5842, 0.4158, 0.7500)  2 Fe 2.51, 2 Mg 2.80

Results
As for the formation energy: 187 meV per atom. The theoretical density comes out at 2.87 g cm⁻³. As for the space group: Cmcm, No. 63. As for the density of states at the Fermi level: 3.81 states/eV per cell.

No. 6
A plane-wave DFT calculation with PBE was carried out for crystalline Mg2Fe at its relaxed geometry.

Unit cell a=5.5816 b=5.5816 c=8.4519 alpha=90.00 beta=90.00 gamma=120.00
With the nearest neighbours (Å) after each atom.
Atoms (fractional coordinates):
Mg (0.0000, 0.0000, 0.0000)  6 Mg 2.71
Mg (0.0000, 0.0000, 0.5000)  6 Mg 2.71
Mg (0.1748, 0.3496, 0.2500)  6 Mg 2.65-2.93
Mg (0.1748, 0.8252, 0.2500)  6 Mg 2.65-2.93
Mg (0.3496, 0.1748, 0.7500)  6 Mg 2.65-2.93
Mg (0.6504, 0.8252, 0.2500)  6 Mg 2.65-2.93
Mg (0.8252, 0.1748, 0.7500)  6 Mg 2.65-2.93
Mg (0.8252, 0.6504, 0.7500)  6 Mg 2.65-2.93
Fe (0.3333, 0.6667, 0.6057)  1 Fe 2.44
Fe (0.3333, 0.6667, 0.8943)  1 Fe 2.44
Fe (0.6667, 0.3333, 0.1057)  1 Fe 2.44
Fe (0.6667, 0.3333, 0.3943)  1 Fe 2.44

Results
As for the formation energy: 589 meV per atom. The theoretical density comes out at 3.04 g cm⁻³. As for the space group: P6_3/mmc, No. 194. As for the density of states at the Fermi level: 8.70 states/eV per cell.